Computed, not measured: crystalline Sc2Ge2As at its relaxed geometry at the PBE level of DFT.

a b c (Å): 7.1401 7.1401 4.0289
angles (deg): 90.00 90.00 90.00
With the nearest neighbours (Å) after each atom.
Fractional coordinates of all 10 atoms:
Sc: 0.1785 0.3215 0.0000  2 As 2.63, 2 Ge 2.84
Sc: 0.3215 0.8215 0.0000  2 As 2.63, 2 Ge 2.84
Sc: 0.6785 0.1785 0.0000  2 As 2.63, 2 Ge 2.84
Sc: 0.8215 0.6785 0.0000  2 As 2.63, 2 Ge 2.84
Ge: 0.1227 0.6227 0.5000  1 Ge 2.48
Ge: 0.3773 0.1227 0.5000  1 Ge 2.48
Ge: 0.6227 0.8773 0.5000  1 Ge 2.48
Ge: 0.8773 0.3773 0.5000  1 Ge 2.48
As: 0.0000 0.0000 0.0000  4 Sc 2.63
As: 0.5000 0.5000 0.0000  4 Sc 2.63

## Properties
ΔE_f (eV/atom): -0.67
Space-group type: P4/mbm, No. 127

Computed, not measured: crystalline Sc4GeAs2 at its relaxed geometry at the PBE level of DFT.

a b c (Å): 7.3729 7.3729 7.3729
angles (deg): 109.12 109.12 110.18
With the nearest neighbours (Å) after each atom.
Fractional coordinates of all 14 atoms:
Sc: 0.1943 0.2557 0.5615  3 As 2.63-2.72, 1 Ge 2.73
Sc: 0.1943 0.6328 0.9385  3 As 2.63-2.72, 1 Ge 2.73
Sc: 0.2557 0.1943 0.0615  3 As 2.63-2.72, 1 Ge 2.73
Sc: 0.3672 0.8057 0.5615  3 As 2.63-2.72, 1 Ge 2.73
Sc: 0.6328 0.1943 0.4385  3 As 2.63-2.72, 1 Ge 2.73
Sc: 0.7443 0.8057 0.9385  3 As 2.63-2.72, 1 Ge 2.73
Sc: 0.8057 0.3672 0.0615  3 As 2.63-2.72, 1 Ge 2.73
Sc: 0.8057 0.7443 0.4385  3 As 2.63-2.72, 1 Ge 2.73
Ge: 0.1250 0.8750 0.2500  4 Sc 2.73
Ge: 0.8750 0.1250 0.7500  4 Sc 2.73
As: 0.0000 0.5000 0.5000  6 Sc 2.63-2.72
As: 0.5000 0.0000 0.0000  6 Sc 2.63-2.72
As: 0.5000 0.5000 0.0000  6 Sc 2.63-2.72
As: 0.5000 0.5000 0.5000  6 Sc 2.63-2.72

## Properties
ΔE_f (eV/atom): -0.97
Space-group type: I4_1/amd, No. 141

Computed, not measured: crystalline Sc2Ge2As at its relaxed geometry at the PBE level of DFT.

a b c (Å): 7.0913 7.0913 3.8784
angles (deg): 90.00 90.00 90.00
With the nearest neighbours (Å) after each atom.
Fractional coordinates of all 10 atoms:
Sc: 0.1768 0.3232 0.0000  6 Ge 2.77-2.92
Sc: 0.3232 0.8232 0.0000  6 Ge 2.77-2.92
Sc: 0.6768 0.1768 0.0000  6 Ge 2.77-2.92
Sc: 0.8232 0.6768 0.0000  6 Ge 2.77-2.92
Ge: 0.1262 0.6262 0.5000  1 Ge 2.53, 2 Sc 2.77, 2 As 2.80
Ge: 0.3738 0.1262 0.5000  1 Ge 2.53, 2 Sc 2.77, 2 As 2.80
Ge: 0.6262 0.8738 0.5000  1 Ge 2.53, 2 Sc 2.77, 2 As 2.80
Ge: 0.8738 0.3738 0.5000  1 Ge 2.53, 2 Sc 2.77, 2 As 2.80
As: 0.0000 0.0000 0.5000  4 Ge 2.80
As: 0.5000 0.5000 0.5000  4 Ge 2.80

## Properties
ΔE_f (eV/atom): -0.59
Space-group type: P4/mbm, No. 127

Computed, not measured: crystalline Sc4GeAs3 at its relaxed geometry at the PBE level of DFT.

a b c (Å): 5.4975 5.4975 5.4975
angles (deg): 90.00 90.00 90.00
With the nearest neighbours (Å) after each atom.
Fractional coordinates of all 8 atoms:
Sc: 0.0000 0.0000 0.0000  6 As 2.75
Sc: 0.0000 0.5000 0.5000  2 Ge 2.75, 4 As 2.75
Sc: 0.5000 0.0000 0.5000  2 Ge 2.75, 4 As 2.75
Sc: 0.5000 0.5000 0.0000  2 Ge 2.75, 4 As 2.75
Ge: 0.5000 0.5000 0.5000  6 Sc 2.75
As: 0.0000 0.0000 0.5000  6 Sc 2.75
As: 0.0000 0.5000 0.0000  6 Sc 2.75
As: 0.5000 0.0000 0.0000  6 Sc 2.75

## Properties
ΔE_f (eV/atom): -1.17
Space-group type: Pm-3m, No. 221

Computed, not measured: crystalline Sc8GeAs3Se4 at its relaxed geometry at the PBE level of DFT.

a b c (Å): 7.7900 7.7900 7.7900
angles (deg): 59.72 59.72 59.72
With the nearest neighbours (Å) after each atom.
Fractional coordinates of all 16 atoms:
Sc: 0.2455 0.2455 0.2455  3 As 2.70, 3 Se 2.80
Sc: 0.2481 0.7444 0.7444  1 Ge 2.69, 2 As 2.71, 3 Se 2.79-2.81
Sc: 0.2556 0.2556 0.7519  1 Ge 2.69, 2 As 2.71, 3 Se 2.79-2.81
Sc: 0.2556 0.7519 0.2556  1 Ge 2.69, 2 As 2.71, 3 Se 2.79-2.81
Sc: 0.7444 0.2481 0.7444  1 Ge 2.69, 2 As 2.71, 3 Se 2.79-2.81
Sc: 0.7444 0.7444 0.2481  1 Ge 2.69, 2 As 2.71, 3 Se 2.79-2.81
Sc: 0.7519 0.2556 0.2556  1 Ge 2.69, 2 As 2.71, 3 Se 2.79-2.81
Sc: 0.7545 0.7545 0.7545  3 As 2.70, 3 Se 2.80
Ge: 0.5000 0.5000 0.5000  6 Sc 2.69
As: 0.0000 0.0000 0.5000  6 Sc 2.70-2.71
As: 0.0000 0.5000 0.0000  6 Sc 2.70-2.71
As: 0.5000 0.0000 0.0000  6 Sc 2.70-2.71
Se: 0.0000 0.0000 0.0000  6 Sc 2.81
Se: 0.0000 0.5000 0.5000  6 Sc 2.79-2.80
Se: 0.5000 0.0000 0.5000  6 Sc 2.79-2.80
Se: 0.5000 0.5000 0.0000  6 Sc 2.79-2.80

## Properties
Formation energy from raw total energies (eV/atom): -1.48
Space-group type: R-3m, No. 166

Computed, not measured: crystalline Sc6GeAs2Se3 at its relaxed geometry at the PBE level of DFT.

a b c (Å): 8.7072 8.7072 7.7931
angles (deg): 103.31 103.31 25.75
With the nearest neighbours (Å) after each atom.
Fractional coordinates of all 12 atoms:
Sc: 0.0019 0.0019 0.2411  2 Ge 2.70, 1 As 2.72, 3 Se 2.80
Sc: 0.3304 0.3304 0.4242  3 As 2.70, 3 Se 2.79-2.80
Sc: 0.3376 0.3376 0.9116  1 Ge 2.68, 2 As 2.71, 3 Se 2.80
Sc: 0.6624 0.6624 0.0884  1 Ge 2.68, 2 As 2.71, 3 Se 2.80
Sc: 0.6696 0.6696 0.5758  3 As 2.70, 3 Se 2.79-2.80
Sc: 0.9981 0.9981 0.7589  2 Ge 2.70, 1 As 2.72, 3 Se 2.80
Ge: 0.5000 0.5000 0.0000  6 Sc 2.68-2.70
As: 0.1667 0.1667 0.3334  6 Sc 2.70-2.72
As: 0.8333 0.8333 0.6666  6 Sc 2.70-2.72
Se: 0.1677 0.1677 0.8326  6 Sc 2.79-2.80
Se: 0.5000 0.5000 0.5000  6 Sc 2.80
Se: 0.8323 0.8323 0.1674  6 Sc 2.79-2.80

## Properties
Formation energy from raw total energies (eV/atom): -1.45
Space-group type: C2/m, No. 12

no.,calculated total energy (eV/atom),density (kg/m3)
1,-5.98,5014
2,-6.58,4331
3,-5.90,5281
4,-6.65,4770
5,-6.68,4864
6,-6.65,4854